(1)
First-principles (PBE-GGA) data for a geometry-optimized ZnAgF5 structure, as listed in Alexandria via LeMat-Bulk.

## Properties
Energy above the most stable polymorph in this dataset, meV/atom: 13
Density, Mg/m³: 4.3
Uncorrected formation energy, eV/atom: -1.512
Energy, eV per atom: -3.4383

Lattice parameters (Å, degrees): 5.352 9.723 8.555 90.00 110.02 90.00
Element x y z (fractional)
Zn 0.011 0.006 0.210
Zn 0.011 0.494 0.710
Zn 0.989 0.506 0.290
Zn 0.989 0.994 0.790
Ag 0.396 0.244 0.631
Ag 0.396 0.256 0.131
Ag 0.604 0.744 0.869
Ag 0.604 0.756 0.369
F 0.107 0.113 0.637
F 0.107 0.387 0.137
F 0.131 0.109 0.006
F 0.131 0.391 0.506
F 0.245 0.141 0.346
F 0.245 0.359 0.846
F 0.313 0.629 0.370
F 0.313 0.871 0.870
F 0.341 0.610 0.735
F 0.341 0.890 0.235
F 0.659 0.110 0.765
F 0.659 0.390 0.265
F 0.687 0.129 0.130
F 0.687 0.371 0.630
F 0.755 0.641 0.154
F 0.755 0.859 0.654
F 0.869 0.609 0.494
F 0.869 0.891 0.994
F 0.893 0.613 0.863
F 0.893 0.887 0.363

(2)
First-principles (PBE-GGA) data for a geometry-optimized Zn6Ag4F19 structure, as listed in Alexandria via LeMat-Bulk.

## Properties
Density, Mg/m³: 4.9
Uncorrected formation energy, eV/atom: -1.766
Energy, eV per atom: -3.6490

Lattice parameters (Å, degrees): 8.061 8.061 8.061 109.47 109.47 109.47
Element x y z (fractional)
Zn 0.166 0.500 0.666
Zn 0.334 0.834 0.500
Zn 0.500 0.334 0.834
Zn 0.500 0.666 0.166
Zn 0.666 0.166 0.500
Zn 0.834 0.500 0.334
Ag 0.000 0.000 0.295
Ag 0.000 0.295 0.000
Ag 0.295 0.000 0.000
Ag 0.705 0.705 0.705
F 0.000 0.000 0.000
F 0.000 0.351 0.351
F 0.000 0.649 0.649
F 0.034 0.752 0.360
F 0.248 0.282 0.608
F 0.282 0.608 0.248
F 0.326 0.718 0.966
F 0.351 0.000 0.351
F 0.351 0.351 0.000
F 0.360 0.034 0.752
F 0.392 0.674 0.640
F 0.608 0.248 0.282
F 0.640 0.392 0.674
F 0.649 0.000 0.649
F 0.649 0.649 0.000
F 0.674 0.640 0.392
F 0.718 0.966 0.326
F 0.752 0.360 0.034
F 0.966 0.326 0.718